# 1
# MgCd2W, relaxed, DFT PBE-GGA
# Crystal system: tetragonal
# Calculated volume, Å³ per cell: 76
# DFT total energy, eV per atom: -3.46
data_MgCd2W
_symmetry_space_group_name_H-M 'P 1'
_symmetry_Int_Tables_number 1
_cell_length_a 5.3452
_cell_length_b 5.3452
_cell_length_c 5.3452
_cell_angle_alpha 134.62
_cell_angle_beta 134.62
_cell_angle_gamma 66.12
loop_
_symmetry_equiv_pos_as_xyz
'x,y,z'
loop_
_atom_site_label
_atom_site_type_symbol
_atom_site_fract_x
_atom_site_fract_y
_atom_site_fract_z
Mg1 Mg 0.0000 0.0000 0.0000
Cd1 Cd 0.5000 0.5000 0.0000
Cd2 Cd 0.7500 0.2500 0.5000
W1 W 0.2500 0.7500 0.5000

=====

# 2
# MgCdW3, relaxed, DFT PBE-GGA
# Crystal system: cubic
# Calculated volume, Å³ per cell: 98
# Distance to the lowest polymorph of the same formula, meV/atom: 0
data_MgCdW3
_symmetry_space_group_name_H-M 'P 1'
_symmetry_Int_Tables_number 1
_cell_length_a 4.6141
_cell_length_b 4.6141
_cell_length_c 4.6141
_cell_angle_alpha 90.00
_cell_angle_beta 90.00
_cell_angle_gamma 90.00
loop_
_symmetry_equiv_pos_as_xyz
'x,y,z'
loop_
_atom_site_label
_atom_site_type_symbol
_atom_site_fract_x
_atom_site_fract_y
_atom_site_fract_z
Mg1 Mg 0.0000 0.0000 0.0000
Cd1 Cd 0.5000 0.5000 0.5000
W1 W 0.0000 0.0000 0.5000
W2 W 0.0000 0.5000 0.0000
W3 W 0.5000 0.0000 0.0000

=====

# 3
# MgCdW, relaxed, DFT PBE-GGA
# Crystal system: orthorhombic
# Calculated volume, Å³ per cell: 55
# Distance to the lowest polymorph of the same formula, meV/atom: 0
data_MgCdW
_symmetry_space_group_name_H-M 'P 1'
_symmetry_Int_Tables_number 1
_cell_length_a 7.4919
_cell_length_b 7.3549
_cell_length_c 2.8241
_cell_angle_alpha 81.78
_cell_angle_beta 76.32
_cell_angle_gamma 21.91
loop_
_symmetry_equiv_pos_as_xyz
'x,y,z'
loop_
_atom_site_label
_atom_site_type_symbol
_atom_site_fract_x
_atom_site_fract_y
_atom_site_fract_z
Mg1 Mg 0.0000 0.0000 0.0000
Cd1 Cd 0.3230 0.3230 0.6770
W1 W 0.6559 0.6559 0.3441

=====

Repeat the first record exactly.
# MgCd2W, relaxed, DFT PBE-GGA
# Crystal system: tetragonal
# Calculated volume, Å³ per cell: 76
# DFT total energy, eV per atom: -3.46
data_MgCd2W
_symmetry_space_group_name_H-M 'P 1'
_symmetry_Int_Tables_number 1
_cell_length_a 5.3452
_cell_length_b 5.3452
_cell_length_c 5.3452
_cell_angle_alpha 134.62
_cell_angle_beta 134.62
_cell_angle_gamma 66.12
loop_
_symmetry_equiv_pos_as_xyz
'x,y,z'
loop_
_atom_site_label
_atom_site_type_symbol
_atom_site_fract_x
_atom_site_fract_y
_atom_site_fract_z
Mg1 Mg 0.0000 0.0000 0.0000
Cd1 Cd 0.5000 0.5000 0.0000
Cd2 Cd 0.7500 0.2500 0.5000
W1 W 0.2500 0.7500 0.5000